[1]
# PBE MnBeZnNi, optimized geometry
# ΔE_f   -0.08 eV/atom
# N(E_F)   0.5308 states/eV per atom
data_MnBeZnNi
_chemical_formula_sum 'Mn4 Be4 Zn4 Ni4'
_space_group_name_H-M_alt 'F -4 3 m'
_space_group_IT_number 216
_space_group_name_Hall 'F -4 2 3'
_cell_length_a 5.678
_cell_length_b 5.678
_cell_length_c 5.678
_cell_angle_alpha 90.00
_cell_angle_beta 90.00
_cell_angle_gamma 90.00
loop_
_atom_site_label
_atom_site_type_symbol
_atom_site_fract_x
_atom_site_fract_y
_atom_site_fract_z
_atom_site_occupancy
Mn1 Mn 0.000 0.000 0.000 1
Be1 Be 0.250 0.250 0.750 1
Zn1 Zn 0.250 0.250 0.250 1
Ni1 Ni 0.000 0.000 0.500 1

---

[2]
# PBE PmSmY4, optimized geometry
# E above lowest polymorph   11 meV/atom
# ΔE_f   0.02 eV/atom
# N(E_F)   1.4813 states/eV per atom
data_PmSmY4
_chemical_formula_sum 'Pm2 Sm2 Y8'
_space_group_name_H-M_alt 'P 1 21/c 1'
_space_group_IT_number 14
_cell_length_a 6.232
_cell_length_b 3.590
_cell_length_c 18.659
_cell_angle_alpha 90.00
_cell_angle_beta 109.44
_cell_angle_gamma 90.00
loop_
_space_group_symop_operation_xyz
'x,y,z'
'-x,-y,-z'
'-x,y+1/2,-z+1/2'
'x,-y+1/2,z+1/2'
loop_
_atom_site_label
_atom_site_type_symbol
_atom_site_fract_x
_atom_site_fract_y
_atom_site_fract_z
_atom_site_occupancy
Pm1 Pm 0.000 0.000 0.000 1
Sm1 Sm 0.500 0.000 0.500 1
Y1 Y 0.165 0.001 0.833 1
Y2 Y 0.335 0.001 0.668 1

---

> Which formula does entry 1 have?

MnBeZnNi